Entry 1:
CdCu2PSe4 | PBE-GGA | relaxed

```
data_CdCu2PSe4
_chemical_formula_sum 'Cd1 Cu2 P1 Se4'
_symmetry_space_group_name_H-M 'P 1'
_symmetry_Int_Tables_number 1
_cell_length_a 5.8129
_cell_length_b 5.8129
_cell_length_c 6.9812
_cell_angle_alpha 114.59
_cell_angle_beta 114.59
_cell_angle_gamma 90.02
loop_
_symmetry_equiv_pos_as_xyz
'x,y,z'
loop_
_atom_site_label
_atom_site_type_symbol
_atom_site_fract_x
_atom_site_fract_y
_atom_site_fract_z
_atom_site_occupancy
Cd1 Cd 0.0001 0.0001 0.0003 1
Cu1 Cu 0.7501 0.2501 0.5002 1
Cu2 Cu 0.2501 0.7501 0.5002 1
P1 P 0.4999 0.4999 0.9999 1
Se1 Se 0.5937 0.5937 0.7271 1
Se2 Se 0.4063 0.8666 0.2729 1
Se3 Se 0.8666 0.4063 0.2729 1
Se4 Se 0.1333 0.1333 0.7271 1
```

- mass density (kg/m3) = 5105
- formation energy without anion corrections (eV per atom) = -0.171
- energy (eV per formula unit) = -29.8

Entry 2:
PaCdCu2 | PBE-GGA | relaxed

```
data_PaCdCu2
_chemical_formula_sum 'Pa1 Cd1 Cu2'
_symmetry_space_group_name_H-M 'P 1'
_symmetry_Int_Tables_number 1
_cell_length_a 3.1107
_cell_length_b 3.1107
_cell_length_c 7.3862
_cell_angle_alpha 90.00
_cell_angle_beta 90.00
_cell_angle_gamma 90.00
loop_
_symmetry_equiv_pos_as_xyz
'x,y,z'
loop_
_atom_site_label
_atom_site_type_symbol
_atom_site_fract_x
_atom_site_fract_y
_atom_site_fract_z
_atom_site_occupancy
Pa1 Pa 0.5000 0.5000 0.5000 1
Cu1 Cu 0.0000 0.0000 0.7672 1
Cu2 Cu 0.0000 0.0000 0.2328 1
Cd1 Cd 0.5000 0.5000 0.0000 1
```

- mass density (kg/m3) = 10932
- energy relative to the elements (kJ/mol of formula units) = 20.8
- distance to the lowest polymorph of the same formula (eV per formula unit) = 0.10
- energy (eV per formula unit) = -18.4